{"formula": "ZrHgCl2", "functional": "GGA-PBEsol", "state": "optimized geometry", "total_energy_ev_per_atom": -4.5978, "dos_ef_per_ev_fu": 0.9, "relative_energy_ev_per_atom": 0.000, "density_kg_m3": 6635, "cell": [[3.256, 0.000, 0.000], [1.628, 2.820, 0.000], [1.628, 0.940, 9.886]], "species": ["Zr", "Cl", "Cl", "Hg"], "fractional_positions": [[0.000, 0.000, 0.000], [0.727, 0.727, 0.819], [0.273, 0.273, 0.181], [0.500, 0.500, 0.500]]}

{"formula": "HoCl3", "functional": "GGA-PBEsol", "state": "optimized geometry", "total_energy_ev_per_atom": -4.9394, "dos_ef_per_ev_fu": 0.0, "density_kg_m3": 3288, "cell": [[3.522, 0.000, 0.000], [0.000, 9.479, 0.000], [0.000, -4.740, 8.209]], "species": ["Cl", "Cl", "Cl", "Cl", "Cl", "Ho", "Cl", "Ho"], "fractional_positions": [[0.750, 0.430, 0.215], [0.250, 0.570, 0.785], [0.250, 0.215, 0.430], [0.750, 0.785, 0.215], [0.250, 0.215, 0.785], [0.250, 0.667, 0.333], [0.750, 0.785, 0.570], [0.750, 0.333, 0.667]]}

{"formula": "K2HoCl5", "functional": "GGA-PBEsol", "state": "optimized geometry", "total_energy_ev_per_atom": -4.3238, "dos_ef_per_ev_fu": 0.0, "density_kg_m3": 3364, "cell": [[7.859, 0.000, 0.000], [0.000, 8.421, 0.000], [0.000, 0.000, 12.541]], "species": ["K", "Cl", "Cl", "K", "K", "K", "Cl", "Ho", "K", "Cl", "K", "Ho", "Cl", "Cl", "Cl", "Cl", "Cl", "K", "Cl", "Cl", "Cl", "Cl", "Ho", "Cl", "K", "Ho", "Cl", "Cl", "Cl", "Cl", "Cl", "Cl"], "fractional_positions": [[0.060, 0.505, 0.329], [0.154, 0.250, 0.801], [0.835, 0.456, 0.929], [0.940, 0.005, 0.671], [0.560, 0.005, 0.171], [0.560, 0.495, 0.171], [0.615, 0.250, 0.678], [0.425, 0.250, 0.505], [0.440, 0.995, 0.829], [0.654, 0.750, 0.699], [0.060, 0.995, 0.329], [0.075, 0.250, 0.005], [0.846, 0.750, 0.199], [0.115, 0.750, 0.822], [0.385, 0.750, 0.322], [0.165, 0.956, 0.071], [0.665, 0.044, 0.429], [0.940, 0.495, 0.671], [0.665, 0.456, 0.429], [0.086, 0.250, 0.511], [0.885, 0.250, 0.178], [0.914, 0.750, 0.489], [0.925, 0.750, 0.995], [0.335, 0.544, 0.571], [0.440, 0.505, 0.829], [0.575, 0.750, 0.495], [0.835, 0.044, 0.929], [0.335, 0.956, 0.571], [0.414, 0.250, 0.011], [0.346, 0.250, 0.301], [0.586, 0.750, 0.989], [0.165, 0.544, 0.071]]}

Table of uncorrected formation energy (eV/atom), in record order: -1.180, -2.196, -2.167